Entry 1:
AlSnAu2: optimized geometry, GGA-PBE. Values from VASP.

Space-group type   R3m (160)
Electronic total energy   -15.01 eV per cell
Calculated formation energy   -177 meV/atom

Structure (Quantum ESPRESSO input):
```
&SYSTEM
  ibrav = 0, nat = 4, ntyp = 3
/
ATOMIC_SPECIES
Al 26.98 Al.upf
Sn 118.71 Sn.upf
Au 196.97 Au.upf
CELL_PARAMETERS angstrom
1.7419 1.0057 7.8748
-1.7419 1.0057 7.8748
0.0000 -2.0113 7.8748
ATOMIC_POSITIONS crystal
Al 0.0000 0.0000 0.0000
Sn 0.1672 0.1672 0.1672
Au 0.4056 0.4056 0.4056
Au 0.5947 0.5947 0.5947
```

Entry 2:
AlSnAu2: optimized geometry, GGA-PBE. Values from VASP.

Space-group type   I-42d (122)
Electronic total energy   -29.32 eV per cell
Calculated formation energy   -90 meV/atom

Structure (Quantum ESPRESSO input):
```
&SYSTEM
  ibrav = 0, nat = 8, ntyp = 3
/
ATOMIC_SPECIES
Al 26.98 Al.upf
Sn 118.71 Sn.upf
Au 196.97 Au.upf
CELL_PARAMETERS angstrom
-3.6753 3.6753 3.1935
3.6753 -3.6753 3.1935
3.6753 3.6753 -3.1935
ATOMIC_POSITIONS crystal
Al 0.0000 0.0000 0.0000
Al 0.7500 0.2500 0.5000
Sn 0.2500 0.7500 0.5000
Sn 0.5000 0.5000 0.0000
Au 0.0900 0.6250 0.9650
Au 0.3750 0.3400 0.4650
Au 0.6600 0.1250 0.0350
Au 0.8750 0.9100 0.5350
```

Entry 3:
AlSnAu3: optimized geometry, GGA-PBE. Values from VASP.

Space-group type   P6_3/mmc (194)
Electronic total energy   -36.51 eV per cell
Calculated formation energy   -135 meV/atom

Structure (Quantum ESPRESSO input):
```
&SYSTEM
  ibrav = 0, nat = 10, ntyp = 3
/
ATOMIC_SPECIES
Al 26.98 Al.upf
Sn 118.71 Sn.upf
Au 196.97 Au.upf
CELL_PARAMETERS angstrom
6.6177 0.0000 0.0000
-3.3088 5.7311 0.0000
0.0000 0.0000 5.4867
ATOMIC_POSITIONS crystal
Al 0.0000 0.0000 0.0000
Al 0.0000 0.0000 0.5000
Sn 0.3333 0.6667 0.2500
Sn 0.6667 0.3333 0.7500
Au 0.1909 0.3817 0.7500
Au 0.1909 0.8091 0.7500
Au 0.3817 0.1909 0.2500
Au 0.6183 0.8091 0.7500
Au 0.8091 0.1909 0.2500
Au 0.8091 0.6183 0.2500
```